[1]
Al2Sn3: relaxed, PBE-GGA.

Computed properties:
Its space group is R-3c. The total magnetization is 0.0 Bohr magnetons per cell. For the energy of formation, the calculation gives 0.1597 eV/atom.

Cell lengths 6.860, 6.860, 6.860 Å; angles 66.48, 66.48, 66.48 degrees
Sites, in units of the cell vectors:
1 Al 0.166 0.166 0.166
2 Al 0.334 0.334 0.334
3 Al 0.666 0.666 0.666
4 Al 0.834 0.834 0.834
5 Sn 0.102 0.750 0.398
6 Sn 0.250 0.602 0.898
7 Sn 0.398 0.102 0.750
8 Sn 0.602 0.898 0.250
9 Sn 0.750 0.398 0.102
10 Sn 0.898 0.250 0.602

---

[2]
AlSn: relaxed, PBE-GGA.

Computed properties:
Its space group is Imm2. The total magnetization is 0.0 Bohr magnetons per cell. For the energy of formation, the calculation gives 0.1423 eV/atom.

Cell lengths 6.558, 6.558, 6.558 Å; angles 142.29, 68.03, 125.66 degrees
Sites, in units of the cell vectors:
1 Al 0.000 0.000 0.000
2 Al 0.659 0.285 0.374
3 Al 0.911 0.285 0.626
4 Sn 0.078 0.771 0.308
5 Sn 0.463 0.771 0.692
6 Sn 0.480 0.480 0.000

---

[3]
SrAlSn3: relaxed, PBE-GGA.

Computed properties:
Its space group is C2/m. The total magnetization is 0.0 Bohr magnetons per cell. For the energy of formation, the calculation gives -0.2291 eV/atom.

Cell lengths 8.738, 8.738, 6.720 Å; angles 112.25, 112.25, 36.43 degrees
Sites, in units of the cell vectors:
1 Sr 0.142 0.142 0.275
2 Sr 0.858 0.858 0.725
3 Al 0.481 0.481 0.176
4 Al 0.519 0.519 0.824
5 Sn 0.061 0.061 0.728
6 Sn 0.256 0.256 0.876
7 Sn 0.367 0.367 0.406
8 Sn 0.633 0.633 0.594
9 Sn 0.744 0.744 0.124
10 Sn 0.939 0.939 0.272

---

[4]
Sr3AlSn3: relaxed, PBE-GGA.

Computed properties:
The value obtained for the distance to the lowest polymorph of the same formula is 0 meV per atom. Its space group is C2/m. The total magnetization is 0.0 Bohr magnetons per cell. For the energy of formation, the calculation gives -0.5650 eV/atom.

Cell lengths 6.598, 6.598, 15.679 Å; angles 107.69, 107.69, 44.12 degrees
Sites, in units of the cell vectors:
1 Sr 0.019 0.019 0.384
2 Sr 0.104 0.104 0.922
3 Sr 0.232 0.232 0.229
4 Sr 0.768 0.768 0.771
5 Sr 0.896 0.896 0.078
6 Sr 0.981 0.981 0.616
7 Al 0.280 0.280 0.609
8 Al 0.720 0.720 0.391
9 Sn 0.342 0.342 0.451
10 Sn 0.389 0.389 0.923
11 Sn 0.479 0.479 0.767
12 Sn 0.521 0.521 0.233
13 Sn 0.611 0.611 0.077
14 Sn 0.658 0.658 0.549

---

[5]
Sr2AlSn3: relaxed, PBE-GGA.

Computed properties:
The value obtained for the distance to the lowest polymorph of the same formula is 0 meV per atom. Its space group is Cm. The total magnetization is 0.0 Bohr magnetons per cell. For the energy of formation, the calculation gives -0.4336 eV/atom.

Cell lengths 6.586, 6.586, 7.819 Å; angles 125.44, 125.44, 42.15 degrees
Sites, in units of the cell vectors:
1 Sr 0.000 0.000 0.000
2 Sr 0.129 0.129 0.636
3 Al 0.725 0.725 0.410
4 Sn 0.389 0.389 0.587
5 Sn 0.426 0.426 0.230
6 Sn 0.723 0.723 0.036

---

[6]
Sr2AlSn4: relaxed, PBE-GGA.

Computed properties:
Its space group is I4/mmm. The total magnetization is 0.0 Bohr magnetons per cell. For the energy of formation, the calculation gives -0.1110 eV/atom.

Cell lengths 9.094, 9.094, 9.094 Å; angles 145.59, 145.59, 49.45 degrees
Sites, in units of the cell vectors:
1 Sr 0.139 0.139 0.000
2 Sr 0.861 0.861 0.000
3 Al 0.500 0.500 0.000
4 Sn 0.000 0.500 0.500
5 Sn 0.340 0.340 0.000
6 Sn 0.500 0.000 0.500
7 Sn 0.660 0.660 0.000

---

[7]
SrAl2Sn2: relaxed, PBE-GGA.

Computed properties:
Its space group is P4/mbm. The total magnetization is 0.0 Bohr magnetons per cell. For the energy of formation, the calculation gives -0.0511 eV/atom.

Cell lengths 8.499, 8.499, 3.586 Å; angles 90.00, 90.00, 90.00 degrees
Sites, in units of the cell vectors:
1 Sr 0.000 0.000 0.000
2 Sr 0.500 0.500 0.000
3 Al 0.151 0.349 0.500
4 Al 0.349 0.849 0.500
5 Al 0.651 0.151 0.500
6 Al 0.849 0.651 0.500
7 Sn 0.136 0.636 0.000
8 Sn 0.364 0.136 0.000
9 Sn 0.636 0.864 0.000
10 Sn 0.864 0.364 0.000

---

[8]
Sr3Al2Sn3: relaxed, PBE-GGA.

Computed properties:
The value obtained for the distance to the lowest polymorph of the same formula is 127 meV per atom. Its space group is Cmcm. The total magnetization is 0.0 Bohr magnetons per cell. For the energy of formation, the calculation gives -0.3524 eV/atom.

Cell lengths 6.405, 6.405, 15.448 Å; angles 90.00, 90.00, 131.52 degrees
Sites, in units of the cell vectors:
1 Sr 0.045 0.955 0.750
2 Sr 0.152 0.848 0.032
3 Sr 0.152 0.848 0.468
4 Sr 0.848 0.152 0.532
5 Sr 0.848 0.152 0.968
6 Sr 0.955 0.045 0.250
7 Al 0.322 0.678 0.664
8 Al 0.322 0.678 0.836
9 Al 0.678 0.322 0.164
10 Al 0.678 0.322 0.336
11 Sn 0.249 0.751 0.250
12 Sn 0.456 0.544 0.097
13 Sn 0.456 0.544 0.403
14 Sn 0.544 0.456 0.597
15 Sn 0.544 0.456 0.903
16 Sn 0.751 0.249 0.750

---

[9]
SrAlSn3: relaxed, PBE-GGA.

Computed properties:
Its space group is Pm-3m. The total magnetization is 0.0 Bohr magnetons per cell. For the energy of formation, the calculation gives -0.0099 eV/atom.

Cell lengths 5.400, 5.400, 5.400 Å; angles 90.00, 90.00, 90.00 degrees
Sites, in units of the cell vectors:
1 Sr 0.000 0.000 0.000
2 Al 0.500 0.500 0.500
3 Sn 0.000 0.500 0.500
4 Sn 0.500 0.000 0.500
5 Sn 0.500 0.500 0.000

---

[10]
SrAlSn2: relaxed, PBE-GGA.

Computed properties:
Its space group is C2. The total magnetization is 0.0 Bohr magnetons per cell. For the energy of formation, the calculation gives -0.2625 eV/atom.

Cell lengths 4.554, 4.554, 6.734 Å; angles 109.74, 109.74, 89.90 degrees
Sites, in units of the cell vectors:
1 Sr 0.000 0.000 0.000
2 Al 0.250 0.750 0.500
3 Sn 0.379 0.376 0.752
4 Sn 0.624 0.621 0.248

---

[11]
SrAl2Sn2: relaxed, PBE-GGA.

Computed properties:
Its space group is P4/mbm. The total magnetization is 0.0 Bohr magnetons per cell. For the energy of formation, the calculation gives -0.1437 eV/atom.

Cell lengths 8.308, 8.308, 3.665 Å; angles 90.00, 90.00, 90.00 degrees
Sites, in units of the cell vectors:
1 Sr 0.000 0.000 0.000
2 Sr 0.500 0.500 0.000
3 Al 0.118 0.382 0.000
4 Al 0.382 0.882 0.000
5 Al 0.618 0.118 0.000
6 Al 0.882 0.618 0.000
7 Sn 0.166 0.666 0.500
8 Sn 0.334 0.166 0.500
9 Sn 0.666 0.834 0.500
10 Sn 0.834 0.334 0.500

---

[12]
SrAlSn3: relaxed, PBE-GGA.

Computed properties:
Its space group is Pm-3m. The total magnetization is 0.6 Bohr magnetons per cell. For the energy of formation, the calculation gives 0.9933 eV/atom.

Cell lengths 5.999, 5.999, 5.999 Å; angles 90.00, 90.00, 90.00 degrees
Sites, in units of the cell vectors:
1 Sr 0.000 0.000 0.000
2 Al 0.500 0.500 0.500
3 Sn 0.000 0.000 0.500
4 Sn 0.000 0.500 0.000
5 Sn 0.500 0.000 0.000